Computed, not measured: a relaxed structure of BaFe2O4 at the PBE with a Hubbard U level of DFT.

a b c (Å): 8.117 8.117 6.771
angles (deg): 90.00 90.00 90.00
Space group I-42d (No. 122)
One atom of each set of equivalent atoms:
Ba 0.000 0.000 0.000
Fe 0.066 0.250 0.625
O 0.059 0.706 0.866

**Crystal system**: tetragonal
**Calculated density**: 4.66 Mg/m³
**Total magnetization**: 40.0 Bohr magnetons per cell
**ΔE to the lowest computed polymorph**: 148 meV per atom